Material: InAg2Pt
Method: DFT, GGA-PBEsol
State: optimized geometry

* M_tot: 0.0 Bohr magnetons per cell
* SG: No. 139
* energy of formation: -0.17 eV per atom

abc: 3.9396 3.9396 5.1796
angles: 112.35 112.35 90.00
Fractional positions:
Pt1 0.0000 0.0000 0.0000
Ag1 0.7500 0.2500 0.5000
Ag2 0.2500 0.7500 0.5000
In1 0.5000 0.5000 0.0000

***

Material: KSrW2
Method: DFT, GGA-PBEsol
State: optimized geometry

* M_tot: 0.0 Bohr magnetons per cell
* relative energy among the computed polymorphs: 42 meV/atom
* SG: No. 65
* energy of formation: 1.58 eV per atom

abc: 2.7396 5.4427 6.3192
angles: 115.51 90.00 90.00
Fractional positions:
K1 0.5000 0.0000 0.0000
Sr1 0.5000 0.5000 0.0000
W1 0.0000 0.0000 0.5000
W2 0.0000 0.5000 0.5000

***

Material: LaMgAg2
Method: DFT, GGA-PBEsol
State: optimized geometry

* M_tot: 0.0 Bohr magnetons per cell
* SG: No. 123
* energy of formation: -0.13 eV per atom

abc: 3.2944 5.2170 5.2170
angles: 90.00 90.00 90.00
Fractional positions:
Ag1 0.0000 0.0000 0.5000
Ag2 0.0000 0.5000 0.0000
La1 0.5000 0.5000 0.5000
Mg1 0.5000 0.0000 0.0000

***

Material: Li2CoAg
Method: DFT, GGA-PBEsol
State: optimized geometry

* M_tot: 2.9 Bohr magnetons per cell
* SG: No. 122
* energy of formation: 0.45 eV per atom

abc: 5.0809 5.3649 5.3649
angles: 77.04 61.74 61.74
Site moments in Bohr magnetons follow the coordinates.
Fractional positions:
Co1 0.2500 0.5000 0.5000  1.60
Co2 0.5000 0.0000 0.0000  1.60
Ag1 0.7500 0.5000 0.5000  0.00
Ag2 0.0000 0.0000 0.0000  0.00
Li1 0.1346 0.9904 0.4904  -0.01
Li2 0.6154 0.0096 0.5096  -0.01
Li3 0.3750 0.4904 0.0096  -0.01
Li4 0.8750 0.5096 0.9904  -0.01

***

Material: Ni2MoBr
Method: DFT, GGA-PBEsol
State: optimized geometry

* formation energy without anion corrections: 81.7 kJ/mol of atoms
* M_tot: 0.0 Bohr magnetons per cell
* SG: No. 139

abc: 3.7094 3.7094 4.7241
angles: 113.12 113.12 90.00
Fractional positions:
Br1 0.5000 0.5000 0.0000
Mo1 0.0000 0.0000 0.0000
Ni1 0.7500 0.2500 0.5000
Ni2 0.2500 0.7500 0.5000

***

Material: K2SeO4
Method: DFT, GGA-PBEsol
State: optimized geometry

* formation energy without anion corrections: -136.3 kJ/mol of atoms
* M_tot: 0.0 Bohr magnetons per cell
* SG: No. 62

abc: 6.0219 7.6832 10.3764
angles: 90.00 90.00 90.00
Fractional positions:
K1 0.7500 0.5080 0.2071
K2 0.2500 0.4920 0.7929
K3 0.7500 0.0080 0.2929
K4 0.2500 0.9920 0.7071
K5 0.7500 0.6700 0.5732
K6 0.2500 0.3300 0.4268
K7 0.7500 0.1700 0.9268
K8 0.2500 0.8300 0.0732
Se1 0.7500 0.7192 0.9136
Se2 0.2500 0.2808 0.0864
Se3 0.7500 0.2192 0.5864
Se4 0.2500 0.7808 0.4136
O1 0.7500 0.5063 0.9401
O2 0.2500 0.4937 0.0599
O3 0.7500 0.0063 0.5599
O4 0.2500 0.9937 0.4401
O5 0.7500 0.8286 0.0531
O6 0.2500 0.1714 0.9469
O7 0.7500 0.3286 0.4469
O8 0.2500 0.6714 0.5531
O9 0.0240 0.2256 0.1696
O10 0.5240 0.7744 0.8304
O11 0.4760 0.7256 0.3304
O12 0.9760 0.2744 0.6696
O13 0.0240 0.7256 0.3304
O14 0.5240 0.2744 0.6696
O15 0.4760 0.2256 0.1696
O16 0.9760 0.7744 0.8304

***

Material: Cd2InPb
Method: DFT, GGA-PBEsol
State: optimized geometry

* M_tot: 0.0 Bohr magnetons per cell
* relative energy among the computed polymorphs: 22 meV/atom
* SG: No. 166
* energy of formation: 0.06 eV per atom

abc: 3.3069 3.3069 10.5429
angles: 80.98 80.98 60.00
Fractional positions:
Pb1 0.0000 0.0000 0.0000
In1 0.5000 0.5000 0.5000
Cd1 0.2466 0.2466 0.2602
Cd2 0.7534 0.7534 0.7398

***

Material: Nb2O5
Method: DFT, GGA-PBEsol
State: optimized geometry

* formation energy without anion corrections: -241.6 kJ/mol of atoms
* M_tot: 0.0 Bohr magnetons per cell
* relative energy among the computed polymorphs: 10 meV/atom
* SG: No. 2

abc: 7.7191 11.3589 11.4724
angles: 87.92 80.26 80.26
Fractional positions:
Nb1 0.6423 0.3198 0.1166
Nb2 0.1394 0.3278 0.1076
Nb3 0.5786 0.2072 0.4403
Nb4 0.0959 0.2086 0.4366
Nb5 0.3130 0.5519 0.2002
Nb6 0.8067 0.5544 0.2171
Nb7 0.8040 0.1154 0.6743
Nb8 0.3006 0.1133 0.6777
Nb9 0.7656 0.4126 0.5262
Nb10 0.7514 0.9973 0.9970
Nb11 0.2486 0.0027 0.0030
Nb12 0.2344 0.5874 0.4738
Nb13 0.1960 0.8846 0.3257
Nb14 0.6994 0.8867 0.3223
Nb15 0.6870 0.4481 0.7998
Nb16 0.1933 0.4456 0.7829
Nb17 0.4214 0.7928 0.5597
Nb18 0.9041 0.7914 0.5634
Nb19 0.3577 0.6802 0.8834
Nb20 0.8606 0.6722 0.8924
O1 0.1926 0.1660 0.0656
O2 0.6920 0.1646 0.0669
O3 0.6573 0.0387 0.3942
O4 0.1307 0.0357 0.3949
O5 0.8734 0.3606 0.1394
O6 0.3762 0.3674 0.1326
O7 0.5996 0.2668 0.2889
O8 0.1217 0.2646 0.2862
O9 0.3309 0.6178 0.0448
O10 0.8410 0.6082 0.0436
O11 0.3298 0.1884 0.4879
O12 0.8267 0.2078 0.4868
O13 0.5774 0.5105 0.1871
O14 0.0739 0.5078 0.1897
O15 0.5568 0.1353 0.6347
O16 0.0544 0.1429 0.6381
O17 0.2930 0.4679 0.3614
O18 0.7868 0.4749 0.3691
O19 0.0195 0.3620 0.5173
O20 0.5413 0.3604 0.5204
O21 0.2759 0.0645 0.8339
O22 0.7726 0.0748 0.8330
O23 0.2550 0.6913 0.2936
O24 0.7543 0.7068 0.2711
O25 0.5000 0.0000 0.0000
O26 0.0000 0.0000 0.0000
O27 0.7450 0.3087 0.7064
O28 0.2457 0.2932 0.7289
O29 0.7241 0.9355 0.1661
O30 0.2274 0.9252 0.1670
O31 0.4587 0.6396 0.4796
O32 0.9805 0.6380 0.4827
O33 0.7070 0.5321 0.6386
O34 0.2132 0.5251 0.6309
O35 0.9456 0.8571 0.3619
O36 0.4432 0.8647 0.3653
O37 0.4226 0.4895 0.8129
O38 0.9261 0.4922 0.8103
O39 0.1733 0.7922 0.5132
O40 0.6702 0.8116 0.5121
O41 0.6691 0.3822 0.9552
O42 0.1590 0.3918 0.9564
O43 0.4004 0.7332 0.7111
O44 0.8783 0.7354 0.7138
O45 0.6238 0.6326 0.8674
O46 0.1266 0.6394 0.8606
O47 0.3427 0.9613 0.6058
O48 0.8693 0.9643 0.6051
O49 0.3080 0.8354 0.9332
O50 0.8074 0.8340 0.9344

***

Material: Al3NiW
Method: DFT, GGA-PBEsol
State: optimized geometry

* M_tot: 0.0 Bohr magnetons per cell
* SG: No. 221
* energy of formation: 0.63 eV per atom

abc: 4.3038 4.3038 4.3038
angles: 90.00 90.00 90.00
Fractional positions:
Ni1 0.0000 0.0000 0.0000
Al1 0.0000 0.5000 0.0000
Al2 0.0000 0.0000 0.5000
Al3 0.5000 0.0000 0.0000
W1 0.5000 0.5000 0.5000

***

Material: ZrRuSe2
Method: DFT, GGA-PBEsol
State: optimized geometry

* formation energy without anion corrections: -23.2 kJ/mol of atoms
* M_tot: 0.0 Bohr magnetons per cell
* SG: No. 69

abc: 4.1782 4.1782 5.0285
angles: 109.79 109.79 100.66
Fractional positions:
Ru1 0.5000 0.5000 0.0000
Se1 0.5000 0.0000 0.5000
Se2 0.0000 0.5000 0.5000
Zr1 0.0000 0.0000 0.0000

***

Material: MgCdSb
Method: DFT, GGA-PBEsol
State: optimized geometry

* formation energy without anion corrections: -4.8 kJ/mol of atoms
* M_tot: 0.0 Bohr magnetons per cell
* relative energy among the computed polymorphs: 14 meV/atom
* SG: No. 44

abc: 3.4563 4.2393 5.5055
angles: 112.64 108.29 90.00
Fractional positions:
Sb1 0.3298 0.3298 0.6595
Mg1 0.6680 0.6680 0.3361
Cd1 0.0022 0.0022 0.0044